No. 1
Ag2AuCl3 | GGA-PBE | relaxed

Results
**DOS at the Fermi energy**: 0.28 states/eV/cell
**E_form (uncorrected)**: -1.9 eV/f.u.
**Density**: 5.6 g cm⁻³

Unit cell a=3.7711 b=7.8772 c=11.0419 alpha=100.77 beta=99.63 gamma=103.68
With the nearest neighbours (Å) after each atom.
Space group P-1 (No. 2)
Asymmetric unit:
Ag 0.1161 0.0089 0.2081  3 Cl 2.48-2.59
Ag 0.2053 0.5540 0.8591  2 Cl 2.48-2.53
Au 0.1685 0.8838 0.4508  2 Cl 2.47, 2 Au 2.64
Cl 0.1195 0.2812 0.9524  2 Ag 2.48-2.53
Cl 0.2347 0.7605 0.7146  3 Ag 2.48-2.59
Cl 0.4721 0.3153 0.6356  2 Au 2.47

=====

No. 2
Ag4Au2Cl9 | GGA-PBE | relaxed

Results
**DOS at the Fermi energy**: 11.06 states/eV/cell
**E_form (uncorrected)**: -4.9 eV/f.u.
**Density**: 4.6 g cm⁻³

Unit cell a=6.5709 b=7.1663 c=19.2820 alpha=87.83 beta=82.54 gamma=65.53
With the nearest neighbours (Å) after each atom.
Space group P-1 (No. 2)
Asymmetric unit:
Ag 0.0895 0.4380 0.2702  3 Cl 2.48-2.67
Ag 0.1851 0.0354 0.7637  2 Cl 2.41-2.47
Ag 0.2051 0.6389 0.0015  4 Cl 2.50-2.55
Ag 0.2448 0.1175 0.5068  4 Cl 2.56-2.76
Au 0.4781 0.0505 0.0707  3 Cl 2.35-2.52
Au 0.4991 0.5443 0.3902  4 Cl 2.38-2.42
Cl 0.0936 0.2750 0.0802  1 Au 2.35, 1 Ag 2.54
Cl 0.1371 0.1297 0.9166  1 Au 2.36, 1 Ag 2.55
Cl 0.1919 0.7353 0.2564  2 Ag 2.41-2.48
Cl 0.2063 0.6971 0.6913  1 Au 2.42, 1 Ag 2.53
Cl 0.2125 0.7808 0.4742  1 Au 2.41, 1 Ag 2.61
Cl 0.3062 0.3229 0.3989  1 Au 2.40, 1 Ag 2.59
Cl 0.3106 0.2350 0.6221  1 Au 2.38, 1 Ag 2.56
Cl 0.4348 0.1308 0.1993  2 Ag 2.47-2.67, 1 Au 2.52
Cl 0.4821 0.5887 0.0857  2 Ag 2.50

=====

No. 3
Ag3AuCl | GGA-PBE | relaxed

Results
**DOS at the Fermi energy**: 1.72 states/eV/cell
**E_form (uncorrected)**: 2.7 eV/f.u.
**Density**: 7.5 g cm⁻³
**Energy above the lowest structure with this stoichiometry**: 69.7 meV per atom

Unit cell a=4.9710 b=4.9710 c=4.9710 alpha=90.00 beta=90.00 gamma=90.00
With the nearest neighbours (Å) after each atom.
Space group Pm-3m (No. 221)
Asymmetric unit:
Ag 0.0000 0.0000 0.5000  2 Cl 2.49
Au 0.5000 0.5000 0.5000  12 Ag 3.52
Cl 0.0000 0.0000 0.0000  6 Ag 2.49

=====

No. 4
Ag2Au2Cl | GGA-PBE | relaxed

Results
**DOS at the Fermi energy**: 2.46 states/eV/cell
**E_form (uncorrected)**: 0.5 eV/f.u.
**Density**: 10.6 g cm⁻³
**Energy above the lowest structure with this stoichiometry**: 101.8 meV per atom

Unit cell a=7.7425 b=7.7425 c=3.3857 alpha=90.00 beta=90.00 gamma=90.00
With the nearest neighbours (Å) after each atom.
Space group P4/mbm (No. 127)
Asymmetric unit:
Ag 0.1660 0.3340 0.0000  6 Au 2.81-2.86, 2 Cl 2.89
Au 0.1290 0.6290 0.5000  6 Ag 2.81-2.86, 1 Au 2.82
Cl 0.0000 0.0000 0.0000  4 Ag 2.89

=====

No. 5
AgAuCl5 | GGA-PBE | relaxed

Results
**DOS at the Fermi energy**: 10.13 states/eV/cell
**E_form (uncorrected)**: -1.3 eV/f.u.
**Density**: 4.5 g cm⁻³
**Energy above the lowest structure with this stoichiometry**: 75.6 meV per atom

Unit cell a=10.8414 b=7.3404 c=10.0839 alpha=90.00 beta=116.60 gamma=90.00
With the nearest neighbours (Å) after each atom.
Space group C2/c (No. 15)
Asymmetric unit:
Ag 0.0000 0.0344 0.2500  5 Cl 2.61-2.69
Au 0.0000 0.5000 0.0000  6 Cl 2.37-2.64
Cl 0.0000 0.3955 0.2500  2 Au 2.64, 1 Ag 2.65
Cl 0.0706 0.2020 0.9761  1 Au 2.37
Cl 0.2349 0.4059 0.6392  1 Au 2.39, 1 Ag 2.61

=====

No. 6
Co2AgAuCl | GGA-PBE | relaxed

Results
**DOS at the Fermi energy**: 6.80 states/eV/cell
**E_form (uncorrected)**: 3.8 eV/f.u.
**Density**: 8.8 g cm⁻³

Unit cell a=4.1390 b=4.1390 c=5.0641 alpha=90.00 beta=90.00 gamma=90.00
With the nearest neighbours (Å) after each atom.
Space group P4/mmm (No. 123)
Asymmetric unit:
Co 0.0000 0.5000 0.0000  2 Cl 2.07
Ag 0.0000 0.0000 0.5000  2 Cl 2.53
Au 0.5000 0.5000 0.5000  4 Ag 2.93, 8 Co 3.27
Cl 0.0000 0.0000 0.0000  4 Co 2.07

=====

No. 7
Cs3AgAu2Cl6 | GGA-PBE | relaxed

Results
**E_form (uncorrected)**: -12.3 eV/f.u.
**Density**: 3.8 g cm⁻³

Unit cell a=7.9011 b=7.9011 c=9.0598 alpha=90.00 beta=90.00 gamma=120.00
With the nearest neighbours (Å) after each atom.
Space group P-3m1 (No. 164)
Asymmetric unit:
Cs 0.0000 0.0000 0.0000  6 Cl 3.43
Cs 0.3333 0.6667 0.6718  1 Au 3.51
Ag 0.0000 0.0000 0.5000  6 Cl 2.79
Au 0.3333 0.6667 0.2849  3 Cl 2.46
Cl 0.1539 0.3078 0.2985  1 Au 2.46

=====

No. 8
Cs4AgAuCl2 | GGA-PBE | relaxed

Results
**DOS at the Fermi energy**: 0.00 states/eV/cell
**E_form (uncorrected)**: -8.2 eV/f.u.
**Density**: 3.9 g cm⁻³

Unit cell a=10.3253 b=14.5870 c=10.3123 alpha=90.00 beta=90.00 gamma=90.00
With the nearest neighbours (Å) after each atom.
Space group Fmm2 (No. 42)
Asymmetric unit:
Cs 0.0000 0.2460 0.0000  1 Au 3.59, 4 Cl 3.65, 1 Ag 3.70
Cs 0.2495 0.0000 0.2501  2 Cl 3.65, 2 Au 3.65, 2 Ag 3.65
Ag 0.0000 0.0000 0.5006  6 Cs 3.65-3.70
Au 0.0000 0.0000 0.9994  6 Cs 3.59-3.65
Cl 0.2500 0.2500 0.2500  6 Cs 3.65

=====

Repeat the third record exactly.
Ag3AuCl | GGA-PBE | relaxed

Results
**DOS at the Fermi energy**: 1.72 states/eV/cell
**E_form (uncorrected)**: 2.7 eV/f.u.
**Density**: 7.5 g cm⁻³
**Energy above the lowest structure with this stoichiometry**: 69.7 meV per atom

Unit cell a=4.9710 b=4.9710 c=4.9710 alpha=90.00 beta=90.00 gamma=90.00
With the nearest neighbours (Å) after each atom.
Space group Pm-3m (No. 221)
Asymmetric unit:
Ag 0.0000 0.0000 0.5000  2 Cl 2.49
Au 0.5000 0.5000 0.5000  12 Ag 3.52
Cl 0.0000 0.0000 0.0000  6 Ag 2.49

=====

> Look up the density of the fifth one.

4.5 g cm⁻³

=====

> The lowest E_form (uncorrected) belongs to which entry?

Cs3AgAu2Cl6

=====

> Among the records above, which one has the highest density?

Ag2Au2Cl